# NiS2O | Alexandria | GGA+U | optimized geometry
data_NiS2O
_chemical_formula_sum 'Ni3 S6 O3'
_cell_length_a 3.6273
_cell_length_b 3.6273
_cell_length_c 17.0925
_cell_angle_alpha 90.00
_cell_angle_beta 90.00
_cell_angle_gamma 120.00
_space_group_name_H-M_alt 'R -3 m'
_space_group_IT_number 166
_space_group_name_Hall '-R 3 2"'
loop_
_atom_site_label
_atom_site_type_symbol
_atom_site_fract_x
_atom_site_fract_y
_atom_site_fract_z
Ni1 Ni 0.0000 0.0000 0.0000
S1 S 0.0000 0.0000 0.4000
O1 O 0.0000 0.0000 0.5000
# * final energy: -3.843 eV/atom